# 1
# ScCdFe2, relaxed, DFT PBE-GGA
# Fermi-level density of states ... 10.91 states/eV per cell
# Final energy ... -5.709 eV per atom
# Volume ... 201.3 Å³ per cell
# Formation energy from the elements ... 0.33 eV per atom
data_ScCdFe2
_cell_length_a 2.9250
_cell_length_b 2.9250
_cell_length_c 27.1752
_cell_angle_alpha 90.00
_cell_angle_beta 90.00
_cell_angle_gamma 120.00
_space_group_name_H-M_alt 'R -3 m'
_space_group_IT_number 166
_space_group_name_Hall '-R 3 2"'
loop_
_atom_site_label
_atom_site_fract_x
_atom_site_fract_y
_atom_site_fract_z
_atom_site_occupancy
Sc1 0.0000 0.0000 0.0000 1
Cd1 0.0000 0.0000 0.5000 1
Fe1 0.0000 0.0000 0.2518 1



# 2
# Zr3Tl3VTe8, relaxed, DFT PBE-GGA
# Fermi-level density of states ... 18.69 states/eV per cell
# Final energy ... -5.077 eV per atom
# Energy relative to the elements, uncorrected ... -0.61 eV/atom
# Volume ... 1453.1 Å³ per cell
data_Zr3Tl3VTe8
_cell_length_a 8.1002
_cell_length_b 8.1002
_cell_length_c 25.5743
_cell_angle_alpha 90.00
_cell_angle_beta 90.00
_cell_angle_gamma 120.00
_space_group_name_H-M_alt 'R -3 m'
_space_group_IT_number 166
_space_group_name_Hall '-R 3 2"'
loop_
_atom_site_label
_atom_site_fract_x
_atom_site_fract_y
_atom_site_fract_z
_atom_site_occupancy
Zr1 0.0000 0.5000 0.0000 1
Tl1 0.0000 0.5000 0.5000 1
V1 0.0000 0.0000 0.0000 1
Te1 0.0000 0.0000 0.2638 1
Te2 0.0095 0.5047 0.7337 1



# 3
# AlCoSnW2, relaxed, DFT PBE-GGA
# Fermi-level density of states ... 7.57 states/eV per cell
# Final energy ... -5.495 eV per atom
# Volume ... 116.7 Å³ per cell
# Formation energy from the elements ... 2.66 eV per atom
data_AlCoSnW2
_cell_length_a 4.9575
_cell_length_b 4.9575
_cell_length_c 4.7477
_cell_angle_alpha 90.00
_cell_angle_beta 90.00
_cell_angle_gamma 90.00
_space_group_name_H-M_alt 'P 4/m m m'
_space_group_IT_number 123
_space_group_name_Hall '-P 4 2'
loop_
_atom_site_label
_atom_site_fract_x
_atom_site_fract_y
_atom_site_fract_z
_atom_site_occupancy
Al1 0.0000 0.0000 0.0000 1
Co1 0.5000 0.5000 0.0000 1
Sn1 0.0000 0.0000 0.5000 1
W1 0.0000 0.5000 0.5000 1



# 4
# ScRuW2, relaxed, DFT PBE-GGA
# Energy relative to the lowest polymorph listed for this composition ... 93.5 meV/atom
# Fermi-level density of states ... 3.00 states/eV per cell
# Final energy ... -10.336 eV per atom
# Volume ... 65.2 Å³ per cell
# Formation energy from the elements ... 0.04 eV per atom
data_ScRuW2
_cell_length_a 2.8360
_cell_length_b 4.4011
_cell_length_c 5.3003
_cell_angle_alpha 90.00
_cell_angle_beta 99.65
_cell_angle_gamma 90.00
_space_group_name_H-M_alt 'P 1 m 1'
_space_group_IT_number 6
_space_group_name_Hall 'P -2y'
loop_
_atom_site_label
_atom_site_fract_x
_atom_site_fract_y
_atom_site_fract_z
_atom_site_occupancy
Sc1 0.0000 0.0000 0.0000 1
Ru1 0.2537 0.5000 0.7623 1
W1 0.5005 0.0000 0.5041 1
W2 0.7184 0.5000 0.2650 1



Q: Which value of Fermi-level density of states does entry 4 give?
A: 3.00 states/eV per cell



Q: final energy of number 1 (ScCdFe2)?
A: -5.709 eV per atom



Q: Which formula does entry 1 have?
A: ScCdFe2



Q: Among the records above, which one has the highest volume?
A: Zr3Tl3VTe8